Entry from the Alexandria database: crystalline Sr2LaAgIr at its relaxed geometry (PBE).

extended XYZ file:
```
5
Lattice="-4.914 -3.204 0.532 1.678 -3.331 -4.559 2.558 -3.359 3.396" Properties=species:S:1:pos:R:3 pbc="T T T"
Sr -2.457 -1.602 0.266
Ag -0.339 -4.947 -0.315
La 1.279 -1.680 1.698
Ir 0.000 0.000 0.000
Sr 0.839 -1.665 -2.279
```

Results
E_form ... -189 meV per atom
Distance to the lowest polymorph of the same formula ... 0.0 kJ/mol of atoms

---

Entry from the Alexandria database: crystalline LaTbAgIr at its relaxed geometry (PBE).

extended XYZ file:
```
4
Lattice="5.113 0.000 0.000 2.556 4.428 0.000 2.556 1.476 4.174" Properties=species:S:1:pos:R:3 pbc="T T T"
La 5.113 2.952 2.087
Ag 2.556 1.476 1.044
Ir 7.669 4.428 3.131
Tb 0.000 0.000 0.000
```

Results
E_form ... -491 meV per atom

---

Entry from the Alexandria database: crystalline La2TlAgIr at its relaxed geometry (PBE).

extended XYZ file:
```
10
Lattice="-0.126 1.737 -3.713 -3.023 -7.191 -3.261 -6.178 5.226 2.655" Properties=species:S:1:pos:R:3 pbc="T T T"
Ag -3.661 -0.031 -3.288
La -6.796 -1.556 -3.894
Ir -0.986 1.046 -2.875
La -2.532 1.329 -0.425
Tl -4.100 -2.912 -2.356
Tl -5.227 2.685 -1.964
Ir -8.341 -1.273 -1.445
Ag -5.666 -0.196 -1.031
La -8.387 1.438 -2.440
La -0.940 -1.665 -1.880
```

Results
E_form ... -469 meV per atom
Distance to the lowest polymorph of the same formula ... 0.0 kJ/mol of atoms

---

Entry from the Alexandria database: crystalline La5Tl2AgIr2 at its relaxed geometry (PBE).

extended XYZ file:
```
20
Lattice="-0.727 -1.301 -3.554 -0.461 -11.542 4.320 -12.103 1.240 2.022" Properties=species:S:1:pos:R:3 pbc="T T T"
Ir -10.789 -6.227 4.487
La -0.594 -6.422 0.383
Tl -8.569 -8.664 4.925
La -4.105 -5.207 0.656
La -1.352 -2.949 -0.733
Ag -6.282 -5.151 3.171
La -9.994 -0.519 0.145
Ir -7.718 -0.747 1.852
Tl -2.450 -7.591 3.280
Ag 0.000 0.000 0.000
La -11.939 -8.654 3.521
Ir -1.775 -4.076 1.855
La -5.848 -8.284 2.139
Tl -10.114 -2.711 3.062
Ir -4.846 -9.556 4.489
La -9.186 -6.397 2.131
La -7.443 -3.320 0.648
Tl -3.995 -1.638 1.417
La -6.415 -0.030 -0.766
La -3.297 -11.084 2.643
```

Results
E_form ... -511 meV per atom

---

Entry from the Alexandria database: crystalline La2TlAgIr at its relaxed geometry (PBE).

extended XYZ file:
```
5
Lattice="5.453 0.000 0.000 0.000 5.453 0.000 0.000 0.000 5.277" Properties=species:S:1:pos:R:3 pbc="T T T"
Ag 0.000 0.000 2.639
Tl 2.726 2.726 2.639
Ir 0.000 0.000 0.000
La 0.000 2.726 0.000
La 2.726 0.000 0.000
```

Results
E_form ... -265 meV per atom
Distance to the lowest polymorph of the same formula ... 19.7 kJ/mol of atoms

---

Entry from the Alexandria database: crystalline La2YAgIr at its relaxed geometry (PBE).

extended XYZ file:
```
5
Lattice="-3.426 3.398 2.773 -4.222 -3.509 -0.915 1.172 -2.627 4.667" Properties=species:S:1:pos:R:3 pbc="T T T"
La -1.713 1.699 1.387
Ir 0.000 0.000 0.000
Ag -3.238 -1.369 3.263
Y 0.586 -1.314 2.334
La -2.111 -1.755 -0.458
```

Results
E_form ... -264 meV per atom

---

Entry from the Alexandria database: crystalline LaYAgIr at its relaxed geometry (PBE).

extended XYZ file:
```
4
Lattice="5.110 0.000 0.000 2.555 4.425 0.000 2.555 1.475 4.172" Properties=species:S:1:pos:R:3 pbc="T T T"
Ir 5.110 2.950 2.086
Ag 0.000 0.000 0.000
La 7.664 4.425 3.129
Y 2.555 1.475 1.043
```

Results
E_form ... -492 meV per atom

---

Entry from the Alexandria database: crystalline LaYAg2Ir at its relaxed geometry (PBE).

extended XYZ file:
```
5
Lattice="5.278 0.000 0.000 0.000 5.050 0.000 0.000 0.000 5.278" Properties=species:S:1:pos:R:3 pbc="T T T"
La 0.000 2.525 0.000
Ag 2.639 0.000 0.000
Ir 0.000 0.000 0.000
Y 2.639 2.525 2.639
Ag 0.000 0.000 2.639
```

Results
E_form ... 217 meV per atom

---

Number 1: density of states at the Fermi level 3.1 states/eV/f.u.. Number 2: density of states at the Fermi level 3.2 states/eV/f.u.. Number 3: density of states at the Fermi level 3.4 states/eV/f.u.. Number 4: density of states at the Fermi level 7.3 states/eV/f.u.. Number 5: density of states at the Fermi level 4.6 states/eV/f.u.. Number 6: density of states at the Fermi level 5.1 states/eV/f.u.. Number 7: density of states at the Fermi level 3.2 states/eV/f.u.. Number 8: density of states at the Fermi level 4.6 states/eV/f.u..